(1)
Ac2HfBr | GGA-PBE | optimized geometry

Calculated values
Space-group type = R-3m (166)
Uncorrected energy = -4.945 eV/atom
Crystal system = trigonal

Unit cell a=3.630 b=3.630 c=12.019 alpha=81.32 beta=81.32 gamma=60.00
Sites, in units of the cell vectors:
Ac (0.908, 0.908, 0.277)
Br (0.500, 0.500, 0.500)
Ac (0.092, 0.092, 0.723)
Hf (0.000, 0.000, 0.000)

=====

(2)
CaPt2Rh | GGA-PBE | optimized geometry

Calculated values
Space-group type = Cm (8)
Crystal system = monoclinic
E_form = -118 kJ/mol of formula units

Unit cell a=5.045 b=5.045 c=5.010 alpha=80.18 beta=80.18 gamma=33.31
Sites, in units of the cell vectors:
Pt (0.006, 0.006, 0.994)
Rh (0.492, 0.492, 0.536)
Pt (0.751, 0.751, 0.730)
Ca (0.251, 0.251, 0.239)

=====

(3)
PrCdInPb | GGA-PBE | optimized geometry

Calculated values
Space-group type = Pmmm (47)
E above lowest polymorph = 0.0000 eV/atom
Crystal system = orthorhombic
E_form = -160 kJ/mol of formula units

Unit cell a=4.672 b=4.773 c=4.902 alpha=90.00 beta=90.00 gamma=90.00
Sites, in units of the cell vectors:
Cd (0.500, 0.000, 0.500)
Pr (0.500, 0.500, 0.000)
In (0.000, 0.500, 0.500)
Pb (0.000, 0.000, 0.000)

=====

(4)
Be2NbMo2 | GGA-PBE | optimized geometry

Calculated values
Space-group type = P4/mbm (127)
Crystal system = tetragonal
E_form = -107 kJ/mol of formula units

Unit cell a=6.338 b=6.338 c=3.263 alpha=90.00 beta=90.00 gamma=90.00
Sites, in units of the cell vectors:
Mo (0.677, 0.823, 0.500)
Nb (0.000, 0.000, 0.000)
Nb (0.500, 0.500, 0.000)
Mo (0.823, 0.323, 0.500)
Be (0.615, 0.115, 0.000)
Be (0.115, 0.385, 0.000)
Mo (0.177, 0.677, 0.500)
Be (0.885, 0.615, 0.000)
Be (0.385, 0.885, 0.000)
Mo (0.323, 0.177, 0.500)

=====

(5)
MgTaBr4 | GGA-PBE | optimized geometry

Calculated values
Space-group type = F-43m (216)
Uncorrected energy = -2.275 eV/atom
Crystal system = cubic

Unit cell a=6.177 b=6.177 c=6.177 alpha=60.00 beta=60.00 gamma=60.00
Sites, in units of the cell vectors:
Br (0.375, 0.876, 0.375)
Br (0.375, 0.375, 0.375)
Br (0.876, 0.375, 0.375)
Ta (0.000, 0.000, 0.000)
Br (0.375, 0.375, 0.876)
Mg (0.750, 0.750, 0.750)

=====

(6)
AgBr2 | GGA-PBE | optimized geometry

Calculated values
Space-group type = P4/mmm (123)
Uncorrected energy = -2.072 eV/atom
Crystal system = tetragonal

Unit cell a=5.379 b=5.379 c=2.921 alpha=90.00 beta=90.00 gamma=90.00
Sites, in units of the cell vectors:
Br (0.500, 0.000, 0.500)
Ag (0.000, 0.000, 0.000)
Br (0.000, 0.500, 0.500)

=====

(7)
TbCeY6 | GGA-PBE | optimized geometry

Calculated values
Space-group type = P-1 (2)
E above lowest polymorph = 0.1725 eV/atom
Crystal system = triclinic
E_form = 172 kJ/mol of formula units

Unit cell a=6.833 b=6.510 c=6.917 alpha=102.14 beta=61.15 gamma=89.55
Sites, in units of the cell vectors:
Y (0.574, 0.766, 0.518)
Ce (0.000, 0.500, 0.000)
Y (0.426, 0.234, 0.482)
Tb (0.000, 0.000, 0.000)
Y (0.096, 0.731, 0.477)
Y (0.904, 0.269, 0.523)
Y (0.448, 0.251, 0.002)
Y (0.552, 0.749, 0.998)

=====

(8)
SrGa2AgRh | GGA-PBE | optimized geometry

Calculated values
Space-group type = P4/mmm (123)
Crystal system = tetragonal
E_form = -172 kJ/mol of formula units

Unit cell a=4.744 b=4.744 c=5.322 alpha=90.00 beta=90.00 gamma=90.00
Sites, in units of the cell vectors:
Ga (0.000, 0.500, 0.000)
Sr (0.500, 0.500, 0.500)
Rh (0.000, 0.000, 0.000)
Ga (0.500, 0.000, 0.000)
Ag (0.000, 0.000, 0.500)

=====

(9)
Cs2AgSb2 | GGA-PBE | optimized geometry

Calculated values
Space-group type = C2/m (12)
Uncorrected energy = -2.805 eV/atom
Crystal system = monoclinic

Unit cell a=5.917 b=6.812 c=11.376 alpha=78.20 beta=74.93 gamma=64.26
Sites, in units of the cell vectors:
Cs (0.672, 0.348, 0.307)
Sb (0.609, 0.889, 0.894)
Ag (0.662, 0.035, 0.640)
Ag (0.338, 0.965, 0.360)
Sb (0.391, 0.111, 0.106)
Cs (0.917, 0.282, 0.883)
Sb (0.095, 0.268, 0.542)
Cs (0.083, 0.718, 0.117)
Sb (0.905, 0.732, 0.458)
Cs (0.328, 0.652, 0.693)

=====

(10)
RbLiNO2 | GGA-PBE | optimized geometry

Calculated values
Space-group type = P4/mmm (123)
Uncorrected energy = -3.084 eV/atom
Crystal system = tetragonal

Unit cell a=5.059 b=5.059 c=5.309 alpha=90.00 beta=90.00 gamma=90.00
Sites, in units of the cell vectors:
O (0.500, 0.000, 0.000)
Rb (0.000, 0.000, 0.000)
Li (0.500, 0.500, 0.500)
N (0.000, 0.000, 0.500)
O (0.000, 0.500, 0.000)